# CuBiSeO (PBE, optimized geometry)
# **Space group**: No. 129
# **E_form (uncorrected)**: -663 meV/atom
# **Offset from the most stable computed form**: 0.000 eV per atom
# **Crystal system**: tetragonal
data_CuBiSeO
_chemical_formula_sum 'Cu2 Bi2 Se2 O2'
_space_group_name_H-M_alt 'P 1'
_space_group_IT_number 1
_space_group_name_Hall 'P 1'
_cell_length_a 3.947
_cell_length_b 3.947
_cell_length_c 9.076
_cell_angle_alpha 90.00
_cell_angle_beta 90.00
_cell_angle_gamma 90.00
loop_
_atom_site_label
_atom_site_type_symbol
_atom_site_fract_x
_atom_site_fract_y
_atom_site_fract_z
Cu1 Cu 0.000 0.000 0.500
Cu2 Cu 0.500 0.500 0.500
Se1 Se 0.000 0.500 0.327
Se2 Se 0.500 0.000 0.673
O1 O 0.500 0.500 0.000
O2 O 0.000 0.000 0.000
Bi1 Bi 0.500 0.000 0.140
Bi2 Bi 0.000 0.500 0.860



# Rb2SiCl (PBE, optimized geometry)
# **Space group**: No. 122
# **E_form (uncorrected)**: -327 meV/atom
# **Offset from the most stable computed form**: 0.006 eV per atom
# **Crystal system**: tetragonal
data_Rb2SiCl
_chemical_formula_sum 'Rb4 Si2 Cl2'
_space_group_name_H-M_alt 'P 1'
_space_group_IT_number 1
_space_group_name_Hall 'P 1'
_cell_length_a 8.905
_cell_length_b 8.905
_cell_length_c 8.189
_cell_angle_alpha 57.06
_cell_angle_beta 57.06
_cell_angle_gamma 90.00
loop_
_atom_site_label
_atom_site_type_symbol
_atom_site_fract_x
_atom_site_fract_y
_atom_site_fract_z
Si1 Si 0.250 0.750 0.500
Si2 Si 0.500 0.500 0.000
Rb1 Rb 0.088 0.625 0.250
Rb2 Rb 0.875 0.912 0.750
Rb3 Rb 0.375 0.338 0.750
Rb4 Rb 0.662 0.125 0.250
Cl1 Cl 0.750 0.250 0.500
Cl2 Cl 0.000 0.000 0.000



# KRb2Te4W (PBE, optimized geometry)
# **Space group**: No. 82
# **E_form (uncorrected)**: -489 meV/atom
# **Crystal system**: tetragonal
data_KRb2Te4W
_chemical_formula_sum 'K1 Rb2 Te4 W1'
_space_group_name_H-M_alt 'P 1'
_space_group_IT_number 1
_space_group_name_Hall 'P 1'
_cell_length_a 7.933
_cell_length_b 7.933
_cell_length_c 7.933
_cell_angle_alpha 109.37
_cell_angle_beta 109.52
_cell_angle_gamma 109.52
loop_
_atom_site_label
_atom_site_type_symbol
_atom_site_fract_x
_atom_site_fract_y
_atom_site_fract_z
Te1 Te 0.668 0.485 0.498
Te2 Te 0.332 0.830 0.817
Te3 Te 0.013 0.183 0.515
Te4 Te 0.987 0.502 0.170
Rb1 Rb 0.000 0.000 0.000
Rb2 Rb 0.500 0.750 0.250
W1 W 0.000 0.500 0.500
K1 K 0.500 0.250 0.750



# LaErGa2Au2 (PBE, optimized geometry)
# **Space group**: No. 164
# **Energy of formation**: -0.80 eV/atom
# **Crystal system**: trigonal
data_LaErGa2Au2
_chemical_formula_sum 'La1 Er1 Ga2 Au2'
_space_group_name_H-M_alt 'P 1'
_space_group_IT_number 1
_space_group_name_Hall 'P 1'
_cell_length_a 4.571
_cell_length_b 4.571
_cell_length_c 7.422
_cell_angle_alpha 90.00
_cell_angle_beta 90.00
_cell_angle_gamma 120.00
loop_
_atom_site_label
_atom_site_type_symbol
_atom_site_fract_x
_atom_site_fract_y
_atom_site_fract_z
Ga1 Ga 0.667 0.333 0.278
Ga2 Ga 0.333 0.667 0.722
Au1 Au 0.333 0.667 0.285
Au2 Au 0.667 0.333 0.715
Er1 Er 0.000 0.000 0.500
La1 La 0.000 0.000 0.000



# Cs4SiSe4 (PBE, optimized geometry)
# **Space group**: No. 218
# **E_form (uncorrected)**: -1108 meV/atom
# **Offset from the most stable computed form**: 0.000 eV per atom
# **Crystal system**: cubic
data_Cs4SiSe4
_chemical_formula_sum 'Cs32 Si8 Se32'
_space_group_name_H-M_alt 'P 1'
_space_group_IT_number 1
_space_group_name_Hall 'P 1'
_cell_length_a 14.415
_cell_length_b 14.415
_cell_length_c 14.415
_cell_angle_alpha 90.00
_cell_angle_beta 90.00
_cell_angle_gamma 90.00
loop_
_atom_site_label
_atom_site_type_symbol
_atom_site_fract_x
_atom_site_fract_y
_atom_site_fract_z
Se1 Se 0.338 0.399 0.089
Se2 Se 0.593 0.407 0.407
Se3 Se 0.162 0.411 0.899
Se4 Se 0.662 0.601 0.089
Se5 Se 0.911 0.338 0.601
Se6 Se 0.399 0.089 0.338
Se7 Se 0.907 0.907 0.093
Se8 Se 0.589 0.101 0.162
Se9 Se 0.911 0.662 0.399
Se10 Se 0.093 0.907 0.907
Se11 Se 0.089 0.662 0.601
Se12 Se 0.411 0.101 0.838
Se13 Se 0.399 0.911 0.662
Se14 Se 0.899 0.838 0.589
Se15 Se 0.601 0.089 0.662
Se16 Se 0.593 0.593 0.593
Se17 Se 0.838 0.411 0.101
Se18 Se 0.899 0.162 0.411
Se19 Se 0.407 0.407 0.593
Se20 Se 0.162 0.589 0.101
Se21 Se 0.411 0.899 0.162
Se22 Se 0.338 0.601 0.911
Se23 Se 0.838 0.589 0.899
Se24 Se 0.662 0.399 0.911
Se25 Se 0.093 0.093 0.093
Se26 Se 0.589 0.899 0.838
Se27 Se 0.089 0.338 0.399
Se28 Se 0.101 0.162 0.589
Se29 Se 0.101 0.838 0.411
Se30 Se 0.907 0.093 0.907
Se31 Se 0.601 0.911 0.338
Se32 Se 0.407 0.593 0.407
Cs1 Cs 0.151 0.415 0.635
Cs2 Cs 0.349 0.135 0.085
Cs3 Cs 0.865 0.085 0.651
Cs4 Cs 0.085 0.349 0.135
Cs5 Cs 0.415 0.635 0.151
Cs6 Cs 0.585 0.365 0.151
Cs7 Cs 0.135 0.915 0.651
Cs8 Cs 0.415 0.365 0.849
Cs9 Cs 0.848 0.152 0.152
Cs10 Cs 0.849 0.585 0.635
Cs11 Cs 0.915 0.349 0.865
Cs12 Cs 0.635 0.151 0.415
Cs13 Cs 0.865 0.915 0.349
Cs14 Cs 0.135 0.085 0.349
Cs15 Cs 0.651 0.865 0.085
Cs16 Cs 0.085 0.651 0.865
Cs17 Cs 0.915 0.651 0.135
Cs18 Cs 0.348 0.348 0.348
Cs19 Cs 0.152 0.152 0.848
Cs20 Cs 0.585 0.635 0.849
Cs21 Cs 0.652 0.652 0.348
Cs22 Cs 0.365 0.151 0.585
Cs23 Cs 0.151 0.585 0.365
Cs24 Cs 0.349 0.865 0.915
Cs25 Cs 0.849 0.415 0.365
Cs26 Cs 0.152 0.848 0.152
Cs27 Cs 0.365 0.849 0.415
Cs28 Cs 0.652 0.348 0.652
Cs29 Cs 0.348 0.652 0.652
Cs30 Cs 0.848 0.848 0.848
Cs31 Cs 0.635 0.849 0.585
Cs32 Cs 0.651 0.135 0.915
Si1 Si 0.500 0.500 0.500
Si2 Si 0.500 0.000 0.750
Si3 Si 0.000 0.250 0.500
Si4 Si 0.000 0.000 0.000
Si5 Si 0.500 0.000 0.250
Si6 Si 0.750 0.500 0.000
Si7 Si 0.250 0.500 0.000
Si8 Si 0.000 0.750 0.500



# KAl3Tc (PBE, optimized geometry)
# **Space group**: No. 221
# **Energy of formation**: 2.24 eV/atom
# **Offset from the most stable computed form**: 2.291 eV per atom
# **Crystal system**: cubic
data_KAl3Tc
_chemical_formula_sum 'K1 Al3 Tc1'
_space_group_name_H-M_alt 'P 1'
_space_group_IT_number 1
_space_group_name_Hall 'P 1'
_cell_length_a 5.285
_cell_length_b 5.285
_cell_length_c 5.285
_cell_angle_alpha 90.00
_cell_angle_beta 90.00
_cell_angle_gamma 90.00
loop_
_atom_site_label
_atom_site_type_symbol
_atom_site_fract_x
_atom_site_fract_y
_atom_site_fract_z
Tc1 Tc 0.500 0.500 0.500
Al1 Al 0.000 0.500 0.000
Al2 Al 0.000 0.000 0.500
Al3 Al 0.500 0.000 0.000
K1 K 0.000 0.000 0.000



# LaRe2W (PBE, optimized geometry)
# **Space group**: No. 122
# **Energy of formation**: 0.98 eV/atom
# **Offset from the most stable computed form**: 0.645 eV per atom
# **Crystal system**: tetragonal
data_LaRe2W
_chemical_formula_sum 'La2 Re4 W2'
_space_group_name_H-M_alt 'P 1'
_space_group_IT_number 1
_space_group_name_Hall 'P 1'
_cell_length_a 7.538
_cell_length_b 7.538
_cell_length_c 6.078
_cell_angle_alpha 51.68
_cell_angle_beta 51.68
_cell_angle_gamma 90.00
loop_
_atom_site_label
_atom_site_type_symbol
_atom_site_fract_x
_atom_site_fract_y
_atom_site_fract_z
Re1 Re 0.375 0.329 0.750
Re2 Re 0.875 0.921 0.750
Re3 Re 0.671 0.125 0.250
Re4 Re 0.079 0.625 0.250
La1 La 0.500 0.500 0.000
La2 La 0.250 0.750 0.500
W1 W 0.750 0.250 0.500
W2 W 0.000 0.000 0.000



# Y2CoIrC (PBE, optimized geometry)
# **Space group**: No. 123
# **Energy of formation**: -0.42 eV/atom
# **Crystal system**: tetragonal
data_Y2CoIrC
_chemical_formula_sum 'Y2 Co1 Ir1 C1'
_space_group_name_H-M_alt 'P 1'
_space_group_IT_number 1
_space_group_name_Hall 'P 1'
_cell_length_a 4.960
_cell_length_b 4.960
_cell_length_c 3.558
_cell_angle_alpha 90.00
_cell_angle_beta 90.00
_cell_angle_gamma 90.00
loop_
_atom_site_label
_atom_site_type_symbol
_atom_site_fract_x
_atom_site_fract_y
_atom_site_fract_z
Co1 Co 0.000 0.000 0.500
Y1 Y 0.000 0.500 0.000
Y2 Y 0.500 0.000 0.000
Ir1 Ir 0.500 0.500 0.500
C1 C 0.000 0.000 0.000



# Ac2La3Tl4 (PBE, optimized geometry)
# **Space group**: No. 64
# **Energy of formation**: -0.28 eV/atom
# **Offset from the most stable computed form**: 0.091 eV per atom
# **Crystal system**: orthorhombic
data_Ac2La3Tl4
_chemical_formula_sum 'Ac4 La6 Tl8'
_space_group_name_H-M_alt 'P 1'
_space_group_IT_number 1
_space_group_name_Hall 'P 1'
_cell_length_a 7.597
_cell_length_b 9.651
_cell_length_c 9.538
_cell_angle_alpha 90.00
_cell_angle_beta 113.47
_cell_angle_gamma 90.00
loop_
_atom_site_label
_atom_site_type_symbol
_atom_site_fract_x
_atom_site_fract_y
_atom_site_fract_z
Tl1 Tl 0.214 0.750 0.928
Tl2 Tl 0.286 0.250 0.072
Tl3 Tl 0.714 0.750 0.928
Tl4 Tl 0.815 0.035 0.631
Tl5 Tl 0.685 0.535 0.369
Tl6 Tl 0.786 0.250 0.072
Tl7 Tl 0.185 0.965 0.369
Tl8 Tl 0.315 0.465 0.631
La1 La 0.500 0.500 0.000
La2 La 0.971 0.250 0.441
La3 La 0.471 0.250 0.441
La4 La 0.529 0.750 0.559
La5 La 0.000 0.000 0.000
La6 La 0.029 0.750 0.559
Ac1 Ac 0.392 0.073 0.784
Ac2 Ac 0.108 0.573 0.216
Ac3 Ac 0.608 0.927 0.216
Ac4 Ac 0.892 0.427 0.784



# LaTcRu2 (PBE, optimized geometry)
# **Space group**: No. 47
# **Energy of formation**: 0.17 eV/atom
# **Offset from the most stable computed form**: 0.037 eV per atom
# **Crystal system**: orthorhombic
data_LaTcRu2
_chemical_formula_sum 'La1 Tc1 Ru2'
_space_group_name_H-M_alt 'P 1'
_space_group_IT_number 1
_space_group_name_Hall 'P 1'
_cell_length_a 3.075
_cell_length_b 3.027
_cell_length_c 8.244
_cell_angle_alpha 68.49
_cell_angle_beta 90.00
_cell_angle_gamma 90.00
loop_
_atom_site_label
_atom_site_type_symbol
_atom_site_fract_x
_atom_site_fract_y
_atom_site_fract_z
Ru1 Ru 0.000 0.552 0.448
Ru2 Ru 0.000 0.948 0.052
La1 La 0.500 0.750 0.750
Tc1 Tc 0.500 0.250 0.250



# RuAu2I (PBE, optimized geometry)
# **Space group**: No. 122
# **E_form (uncorrected)**: 747 meV/atom
# **Offset from the most stable computed form**: 0.000 eV per atom
# **Crystal system**: tetragonal
data_RuAu2I
_chemical_formula_sum 'Ru2 Au4 I2'
_space_group_name_H-M_alt 'P 1'
_space_group_IT_number 1
_space_group_name_Hall 'P 1'
_cell_length_a 8.024
_cell_length_b 8.024
_cell_length_c 6.278
_cell_angle_alpha 50.28
_cell_angle_beta 50.28
_cell_angle_gamma 90.00
loop_
_atom_site_label
_atom_site_type_symbol
_atom_site_fract_x
_atom_site_fract_y
_atom_site_fract_z
Au1 Au 0.375 0.407 0.750
Au2 Au 0.875 0.843 0.750
Au3 Au 0.157 0.625 0.250
Au4 Au 0.593 0.125 0.250
Ru1 Ru 0.500 0.500 0.000
Ru2 Ru 0.250 0.750 0.500
I1 I 0.750 0.250 0.500
I2 I 0.000 0.000 0.000



# RbCa3Y (PBE, optimized geometry)
# **Space group**: No. 221
# **Energy of formation**: 0.62 eV/atom
# **Offset from the most stable computed form**: 0.000 eV per atom
# **Crystal system**: cubic
data_RbCa3Y
_chemical_formula_sum 'Rb1 Ca3 Y1'
_space_group_name_H-M_alt 'P 1'
_space_group_IT_number 1
_space_group_name_Hall 'P 1'
_cell_length_a 6.537
_cell_length_b 6.537
_cell_length_c 6.537
_cell_angle_alpha 90.00
_cell_angle_beta 90.00
_cell_angle_gamma 90.00
loop_
_atom_site_label
_atom_site_type_symbol
_atom_site_fract_x
_atom_site_fract_y
_atom_site_fract_z
Y1 Y 0.000 0.000 0.000
Ca1 Ca 0.000 0.000 0.500
Ca2 Ca 0.500 0.000 0.000
Ca3 Ca 0.000 0.500 0.000
Rb1 Rb 0.500 0.500 0.500



Ρ list, top to bottom, in g/cm3: 8.63; 1.88; 3.91; 10.38; 3.88; 2.45; 13.91; 8.37; 8.74; 10.21; 11.94; 1.75
Calculated total energy list, top to bottom, in eV per atom: -4.768; -2.629; -4.058; -4.481; -3.639; -2.296; -9.713; -8.048; -3.892; -8.289; -3.598; -2.072